VASP calculation (PBE-GGA) on a relaxed InRh2Se crystal.

Properties
total magnetization = 0.000 μB per atom
symmetry = P4mm, No. 99
raw formation energy = -4.46 kcal/mol of atoms
VASP energy = -21.7 eV per cell

```
data_InRh2Se
_chemical_formula_sum 'In1 Rh2 Se1'
_cell_length_a 3.430
_cell_length_b 3.430
_cell_length_c 6.008
_cell_angle_alpha 90.00
_cell_angle_beta 90.00
_cell_angle_gamma 90.00
_symmetry_space_group_name_H-M 'P 1'
_symmetry_Int_Tables_number 1
loop_
_symmetry_equiv_pos_as_xyz
'x,y,z'
loop_
_atom_site_label
_atom_site_type_symbol
_atom_site_fract_x
_atom_site_fract_y
_atom_site_fract_z
Rh1 Rh 0.000 0.000 0.004
Rh2 Rh 0.500 0.500 0.291
In1 In 0.500 0.500 0.791
Se1 Se 0.000 0.000 0.414
```